{"formula": "SmPaMnN3", "functional": "PBE", "state": "optimized geometry", "lattice_angstrom": [[7.243, 0.000, 0.000], [0.000, 3.387, 0.000], [-1.453, 0.000, 7.117]], "species": ["Sm", "Sm", "Pa", "Pa", "Mn", "Mn", "N", "N", "N", "N", "N", "N"], "fractional_positions": [[0.202, 0.250, 0.170], [0.798, 0.750, 0.830], [0.186, 0.250, 0.662], [0.814, 0.750, 0.338], [0.427, 0.750, 0.914], [0.573, 0.250, 0.086], [0.137, 0.750, 0.432], [0.145, 0.750, 0.880], [0.465, 0.750, 0.181], [0.535, 0.250, 0.819], [0.855, 0.250, 0.120], [0.863, 0.250, 0.568]], "energy_ev_per_atom": -9.2164, "e_form_raw_ev_per_fu": -6.9, "dos_ef_per_ev_atom": 0.3186}